Entry from Alexandria: a geometry-optimized LaAg2Rh structure (PBE).

It has space group I-42d (No. 122), with a = 4.0140 Å, b = 4.0140 Å, c = 21.7055 Å, α = 90.00°, β = 90.00° and γ = 90.00°. The distinct sites, in fractional coordinates, are La at (0.0000, 0.0000, 0.0000), Ag at (0.2278, 0.2500, 0.6250) and Rh at (0.0000, 0.0000, 0.5000).

The calculation puts the total DFT energy (no corrections) at -4.681 eV per atom. The spin magnetization is 0.00 μB per formula unit. Its formation energy is -0.1854 eV/atom.

---

Entry from Alexandria: a geometry-optimized La5Ag2Rh2 structure (PBE).

It has space group Cmce (No. 64), with a = 16.0789 Å, b = 7.8739 Å, c = 7.9573 Å, α = 90.00°, β = 90.00° and γ = 90.00°. The distinct sites, in fractional coordinates, are La at (0.0000, 0.0000, 0.0000), La at (0.1245, 0.1721, 0.3283), Ag at (0.2131, 0.0000, 0.0000) and Rh at (0.0000, 0.1359, 0.6338).

The calculation puts the total DFT energy (no corrections) at -5.468 eV per atom. The spin magnetization is 0.00 μB per formula unit. Its formation energy is -0.4636 eV/atom.

---

Entry from Alexandria: a geometry-optimized La6Ag2Rh structure (PBE).

It has space group P2_1/c (No. 14), with a = 6.8884 Å, b = 7.7956 Å, c = 12.5131 Å, α = 90.00°, β = 120.19° and γ = 90.00°. The distinct sites, in fractional coordinates, are La at (0.1174, 0.1984, 0.4430), La at (0.2774, 0.6746, 0.4456), La at (0.3807, 0.0302, 0.2457), Ag at (0.1651, 0.1041, 0.7327) and Rh at (0.5000, 0.0000, 0.5000).

The calculation puts the total DFT energy (no corrections) at -5.001 eV per atom. The spin magnetization is 0.00 μB per formula unit. Its formation energy is -0.2660 eV/atom.

---

Please write out number 1 again, unchanged.
Entry from Alexandria: a geometry-optimized LaAg2Rh structure (PBE).

It has space group I-42d (No. 122), with a = 4.0140 Å, b = 4.0140 Å, c = 21.7055 Å, α = 90.00°, β = 90.00° and γ = 90.00°. The distinct sites, in fractional coordinates, are La at (0.0000, 0.0000, 0.0000), Ag at (0.2278, 0.2500, 0.6250) and Rh at (0.0000, 0.0000, 0.5000).

The calculation puts the total DFT energy (no corrections) at -4.681 eV per atom. The spin magnetization is 0.00 μB per formula unit. Its formation energy is -0.1854 eV/atom.

---

- What is the spin magnetization in the third record?
  0.00 μB per formula unit

---

Please write out number 1 again, unchanged.
Entry from Alexandria: a geometry-optimized LaAg2Rh structure (PBE).

It has space group I-42d (No. 122), with a = 4.0140 Å, b = 4.0140 Å, c = 21.7055 Å, α = 90.00°, β = 90.00° and γ = 90.00°. The distinct sites, in fractional coordinates, are La at (0.0000, 0.0000, 0.0000), Ag at (0.2278, 0.2500, 0.6250) and Rh at (0.0000, 0.0000, 0.5000).

The calculation puts the total DFT energy (no corrections) at -4.681 eV per atom. The spin magnetization is 0.00 μB per formula unit. Its formation energy is -0.1854 eV/atom.